Sc2IrW: relaxed, PBE.

abc: 2.9846 4.2243 5.6633
angles: 90.00 90.00 90.00
Space group Pmm2 (No. 25)
Unique sites:
Sc: 0.0000 0.0000 0.0000 x1
Sc: 0.5000 0.5000 0.2821 x1
Ir: 0.5000 0.5000 0.7582 x1
W: 0.0000 0.0000 0.5276 x1

Output
For the density of states at the Fermi level, the calculation gives 0.9379 states/eV per atom. For the formation energy from the elements, the calculation gives -41 meV per atom. For the spin magnetization, the calculation gives 0.00 μB/f.u. Its final energy is -8.66 eV per atom.